This record from Alexandria describes crystalline SrNiAs2O8 at its relaxed geometry. The functional is PBE+U.

abc: 4.933 4.933 7.357
angles: 90.00 90.00 120.00
Fractional coordinates of all 12 atoms:
O: 0.294 0.305 0.843
O: 0.333 0.667 0.557
O: 0.988 0.294 0.157
O: 0.695 0.988 0.843
O: 0.305 0.012 0.157
O: 0.667 0.333 0.443
O: 0.012 0.706 0.843
O: 0.706 0.695 0.157
Sr: 0.000 0.000 0.500
As: 0.667 0.333 0.212
As: 0.333 0.667 0.788
Ni: 0.000 0.000 0.000

Summary:
crystal system = trigonal
final energy = -5.744 eV per atom
symmetry = P-3 (147)